Entry w
A plane-wave DFT calculation with PBE was carried out for a relaxed structure of ReSiAsO.

a b c (Å): 3.0171 5.6970 6.7863
angles (deg): 90.00 90.00 90.00
With the nearest neighbours (Å) after each atom.
Sites, in units of the cell vectors:
As (0.0000, 0.3178, 0.3682)  2 Re 2.48-2.75, 2 Si 2.50
As (0.0000, 0.6822, 0.8682)  2 Re 2.48-2.75, 2 Si 2.50
O (0.5000, 0.7522, 0.2900)  1 Si 1.68
O (0.5000, 0.2478, 0.7900)  1 Si 1.68
Re (0.0000, 0.2311, 0.0105)  2 O 2.13
Re (0.0000, 0.7689, 0.5105)  2 O 2.13
Si (0.5000, 0.9169, 0.0853)  1 O 1.68
Si (0.5000, 0.0831, 0.5853)  1 O 1.68

Values from the calculation:
Its crystal system is orthorhombic.

Entry x
A plane-wave DFT calculation with PBE was carried out for a relaxed structure of ReSiAsO.

a b c (Å): 3.6133 3.6133 9.5771
angles (deg): 90.00 90.00 90.00
With the nearest neighbours (Å) after each atom.
Sites, in units of the cell vectors:
As (0.7500, 0.7500, 0.3068)  4 Re 2.59
As (0.2500, 0.2500, 0.6932)  4 Re 2.59
O (0.7500, 0.2500, 0.0000)  4 Si 2.02
O (0.2500, 0.7500, 0.0000)  4 Si 2.02
Re (0.7500, 0.2500, 0.5000)  4 Re 2.55, 4 As 2.59
Re (0.2500, 0.7500, 0.5000)  4 Re 2.55, 4 As 2.59
Si (0.2500, 0.2500, 0.0954)  4 O 2.02
Si (0.7500, 0.7500, 0.9046)  4 O 2.02

Values from the calculation:
Its crystal system is tetragonal.

Which of them is most stable, and which least? Most stable: entry x; least stable: entry w.

Entry w
A plane-wave DFT calculation with PBE was carried out for a relaxed structure of TbReAsO.

a b c (Å): 4.3085 4.3085 6.8494
angles (deg): 90.00 90.00 90.00
With the nearest neighbours (Å) after each atom.
Sites, in units of the cell vectors:
As (0.7500, 0.7500, 0.2197)  1 Re 2.45, 4 O 2.63
As (0.2500, 0.2500, 0.7803)  1 Re 2.45, 4 O 2.63
O (0.7500, 0.2500, 0.0000)  4 Re 2.35, 4 As 2.63
O (0.2500, 0.7500, 0.0000)  4 Re 2.35, 4 As 2.63
Re (0.2500, 0.2500, 0.1373)  4 O 2.35, 1 As 2.45
Re (0.7500, 0.7500, 0.8627)  4 O 2.35, 1 As 2.45
Tb (0.7500, 0.2500, 0.5000)  4 As 2.89, 4 Tb 3.05
Tb (0.2500, 0.7500, 0.5000)  4 As 2.89, 4 Tb 3.05

Values from the calculation:
Its crystal system is tetragonal.

Entry x
A plane-wave DFT calculation with PBE was carried out for a relaxed structure of TbReAsO.

a b c (Å): 4.1416 6.1910 5.6344
angles (deg): 90.00 90.00 90.00
With the nearest neighbours (Å) after each atom.
Sites, in units of the cell vectors:
As (0.0000, 0.1837, 0.3649)  4 Re 2.67-2.85, 1 Tb 2.88
As (0.0000, 0.8163, 0.8649)  4 Re 2.67-2.85, 1 Tb 2.88
O (0.5000, 0.7545, 0.4179)  2 Re 2.09-2.12, 2 Tb 2.16
O (0.5000, 0.2455, 0.9179)  2 Re 2.09-2.12, 2 Tb 2.16
Re (0.5000, 0.9613, 0.1180)  2 O 2.09-2.12
Re (0.5000, 0.0387, 0.6180)  2 O 2.09-2.12
Tb (0.0000, 0.6777, 0.3532)  2 O 2.16
Tb (0.0000, 0.3223, 0.8532)  2 O 2.16

Values from the calculation:
Its crystal system is orthorhombic.

Entry y
A plane-wave DFT calculation with PBE was carried out for a relaxed structure of TbReAsO.

a b c (Å): 4.1356 4.5169 6.9958
angles (deg): 90.00 90.00 90.00
With the nearest neighbours (Å) after each atom.
Sites, in units of the cell vectors:
As (0.0000, 0.3135, 0.2830)  3 Re 2.49-2.51
As (0.0000, 0.6865, 0.7830)  3 Re 2.49-2.51
O (0.5000, 0.8165, 0.4351)  2 Re 2.07
O (0.5000, 0.1835, 0.9351)  2 Re 2.07
Re (0.0000, 0.8159, 0.4377)  2 O 2.07
Re (0.0000, 0.1841, 0.9377)  2 O 2.07
Tb (0.5000, 0.7158, 0.0982)  3 O 2.40-2.66
Tb (0.5000, 0.2842, 0.5982)  3 O 2.40-2.66

Values from the calculation:
Its crystal system is orthorhombic.

Which of them is most stable, and which least? Most stable: entry y; least stable: entry w.

Entry w
A plane-wave DFT calculation with PBE was carried out for a relaxed structure of TbReAsO.

a b c (Å): 3.9604 3.9604 8.5487
angles (deg): 90.00 90.00 90.00
With the nearest neighbours (Å) after each atom.
Sites, in units of the cell vectors:
As (0.0000, 0.5000, 0.3176)  4 Re 2.52
As (0.5000, 0.0000, 0.6824)  4 Re 2.52
O (0.0000, 0.0000, 0.0000)  4 Tb 2.27
O (0.5000, 0.5000, 0.0000)  4 Tb 2.27
Re (0.0000, 0.0000, 0.5000)  4 As 2.52, 4 Re 2.80
Re (0.5000, 0.5000, 0.5000)  4 As 2.52, 4 Re 2.80
Tb (0.5000, 0.0000, 0.1291)  4 O 2.27
Tb (0.0000, 0.5000, 0.8709)  4 O 2.27

Values from the calculation:
Its crystal system is tetragonal.

Entry x
A plane-wave DFT calculation with PBE was carried out for a relaxed structure of TbReAsO.

a b c (Å): 4.3179 4.3179 6.8431
angles (deg): 90.00 90.00 90.00
With the nearest neighbours (Å) after each atom.
Sites, in units of the cell vectors:
As (0.0000, 0.5000, 0.2200)  1 Re 2.45, 4 O 2.63
As (0.5000, 0.0000, 0.7800)  1 Re 2.45, 4 O 2.63
O (0.0000, 0.0000, 0.0000)  4 Re 2.36, 4 As 2.63
O (0.5000, 0.5000, 0.0000)  4 Re 2.36, 4 As 2.63
Re (0.5000, 0.0000, 0.1380)  4 O 2.36, 1 As 2.45
Re (0.0000, 0.5000, 0.8620)  4 O 2.36, 1 As 2.45
Tb (0.0000, 0.0000, 0.5000)  4 As 2.89, 4 Tb 3.05
Tb (0.5000, 0.5000, 0.5000)  4 As 2.89, 4 Tb 3.05

Values from the calculation:
Its crystal system is tetragonal.

Which of them is most stable, and which least? Most stable: entry w; least stable: entry x.